The following is a PBE calculation of a geometry-optimized Si2BiIr2 structure, from Alexandria.

Cell lengths 3.8180, 3.8180, 6.6463 Å; angles 73.31, 73.31, 90.00 degrees
Atoms (fractional coordinates):
Si (0.2500, 0.7500, 0.5000)
Si (0.7500, 0.2500, 0.5000)
Ir (0.6315, 0.6315, 0.7371)
Ir (0.3685, 0.3685, 0.2629)
Bi (0.0000, 0.0000, 0.0000)

Results
Fermi-level density of states = 2.31 states/eV/f.u.
SG = I4/mmm (139)
formation energy (no corrections) = -396 meV/atom
calculated density = 12.184 g/cm3
E above lowest polymorph = 0 meV per atom

The following is a PBE calculation of a geometry-optimized La2ZnSb2 structure, from Alexandria.

Cell lengths 4.2853, 4.2853, 9.0641 Å; angles 76.33, 76.33, 90.00 degrees
Atoms (fractional coordinates):
Sb (0.7500, 0.2500, 0.5000)
Sb (0.2500, 0.7500, 0.5000)
La (0.6016, 0.6016, 0.7969)
La (0.3984, 0.3984, 0.2031)
Zn (0.0000, 0.0000, 0.0000)

Results
Fermi-level density of states = 5.18 states/eV/f.u.
SG = I4/mmm (139)
formation energy (no corrections) = -411 meV/atom
calculated density = 6.211 g/cm3
E above lowest polymorph = 379 meV per atom

The following is a PBE calculation of a geometry-optimized AlCd2Pb structure, from Alexandria.

Cell lengths 5.1830, 5.1830, 5.1830 Å; angles 60.00, 60.00, 60.00 degrees
Atoms (fractional coordinates):
Al (0.5000, 0.5000, 0.5000)
Cd (0.2500, 0.2500, 0.2500)
Cd (0.0000, 0.0000, 0.0000)
Pb (0.7500, 0.7500, 0.7500)

Results
Fermi-level density of states = 3.24 states/eV/f.u.
energy relative to the elements = 0.227 eV/atom
SG = F-43m (216)
calculated density = 7.742 g/cm3
E above lowest polymorph = 115 meV per atom